Computed, not measured: an optimized crystal structure of MnO at the PBE+U level of DFT.

Properties
Total DFT energy (no corrections) in eV per cell: -62.3

Structure (extended XYZ):
```
8
Lattice="3.452 0.000 0.000 -1.726 2.989 0.000 0.000 0.000 11.070" Properties=species:S:1:pos:R:3 pbc="T T T"
Mn 0.000 0.000 0.000
Mn 0.000 0.000 5.535
Mn 0.000 1.993 2.761
Mn 1.726 0.996 8.296
O 0.000 0.000 3.421
O 0.000 0.000 8.956
O 0.000 1.993 0.661
O 1.726 0.996 6.196
```